Crystalline ScFe2Pt2 at its relaxed geometry, computed with PBE.

Properties
The value obtained for the formation energy is -0.42 eV per atom. Its density of states at the Fermi level is 4.9 states/eV/cell.

Lattice parameters (Å, degrees): 3.500 3.500 7.068 75.67 75.67 90.00
Last column: magnetic moment on the atom in μB.
Fractional coordinates of all 5 atoms:
1 Fe 0.750 0.250 0.500  2.73
2 Fe 0.250 0.750 0.500  2.73
3 Pt 0.602 0.602 0.795  0.14
4 Pt 0.398 0.398 0.205  0.14
5 Sc 0.000 0.000 0.000  -0.03